Entry 1:
CeIn2AgBr6 | PBE-GGA | relaxed

Calculated values
SG ... P2_1/c
ΔE_f (raw) ... -1.04 eV per atom
Spin magnetization ... 1.0 μB per formula unit

Unit cell a=7.6665 b=8.1404 c=13.2499 alpha=90.00 beta=123.66 gamma=90.00
Closest atoms and distances in Å follow each position.
Fractional positions:
Ce1 0.0000 0.0000 0.0000  6 Br 2.92-2.93
Ce2 0.0000 0.5000 0.5000  6 Br 2.92-2.93
In1 0.2904 0.0850 0.7614  7 Br 3.30-3.66
In2 0.2904 0.4150 0.2614  7 Br 3.30-3.66
In3 0.7096 0.5850 0.7386  7 Br 3.30-3.66
In4 0.7096 0.9150 0.2386  7 Br 3.30-3.66
Ag1 0.5000 0.0000 0.5000  6 Br 2.89-2.94
Ag2 0.5000 0.5000 0.0000  6 Br 2.89-2.94
Br1 0.1373 0.0283 0.2539  1 Ag 2.89, 1 Ce 2.92
Br2 0.1373 0.4717 0.7539  1 Ag 2.89, 1 Ce 2.92
Br3 0.2467 0.6989 0.0576  1 Ce 2.93, 1 Ag 2.94
Br4 0.2467 0.8011 0.5576  1 Ce 2.93, 1 Ag 2.94
Br5 0.3631 0.1919 0.0509  1 Ce 2.93, 1 Ag 2.94
Br6 0.3631 0.3081 0.5509  1 Ce 2.93, 1 Ag 2.94
Br7 0.6369 0.6919 0.4491  1 Ce 2.93, 1 Ag 2.94
Br8 0.6369 0.8081 0.9491  1 Ce 2.93, 1 Ag 2.94
Br9 0.7533 0.1989 0.4424  1 Ce 2.93, 1 Ag 2.94
Br10 0.7533 0.3011 0.9424  1 Ce 2.93, 1 Ag 2.94
Br11 0.8627 0.5283 0.2461  1 Ag 2.89, 1 Ce 2.92
Br12 0.8627 0.9717 0.7461  1 Ag 2.89, 1 Ce 2.92

=====

Entry 2:
Ce2Co3NiB12 | PBE-GGA | relaxed

Calculated values
Formation enthalpy at 0 K ... -33 meV/atom
SG ... R-3m
Spin magnetization ... 1.8 μB per formula unit

Unit cell a=8.0472 b=8.0472 c=8.0472 alpha=38.91 beta=38.91 gamma=38.91
Closest atoms and distances in Å follow each position.
Fractional positions:
Ce1 0.1410 0.1410 0.1410  6 B 2.61-2.85
Ce2 0.8590 0.8590 0.8590  6 B 2.61-2.85
Co1 0.0000 0.5000 0.5000  6 B 2.09-2.10
Co2 0.5000 0.0000 0.5000  6 B 2.09-2.10
Co3 0.5000 0.5000 0.0000  6 B 2.09-2.10
Ni1 0.5000 0.5000 0.5000  6 B 2.01
B1 0.1547 0.1547 0.4740  4 B 1.71-1.75
B2 0.1547 0.4740 0.1547  4 B 1.71-1.75
B3 0.1808 0.5477 0.5477  2 B 1.75
B4 0.4523 0.4523 0.8192  2 B 1.75
B5 0.4523 0.8192 0.4523  2 B 1.75
B6 0.4740 0.1547 0.1547  4 B 1.71-1.75
B7 0.5260 0.8453 0.8453  4 B 1.71-1.75
B8 0.5477 0.1808 0.5477  2 B 1.75
B9 0.5477 0.5477 0.1808  2 B 1.75
B10 0.8192 0.4523 0.4523  2 B 1.75
B11 0.8453 0.5260 0.8453  4 B 1.71-1.75
B12 0.8453 0.8453 0.5260  4 B 1.71-1.75

=====

Entry 3:
KIn4Hg8 | PBE-GGA | relaxed

Calculated values
Formation enthalpy at 0 K ... -51 meV/atom
SG ... Cm
Spin magnetization ... 0.0 μB per formula unit

Unit cell a=8.3532 b=8.3532 c=11.3954 alpha=123.68 beta=123.68 gamma=35.26
Closest atoms and distances in Å follow each position.
Fractional positions:
K1 0.0000 0.0000 0.0000  8 Hg 3.56-3.71
In1 0.1758 0.1758 0.4484  7 Hg 3.06-3.33, 2 In 3.18
In2 0.3121 0.3121 0.0910  5 Hg 3.00-3.34, 2 In 3.14
In3 0.6872 0.6872 0.9088  5 Hg 3.00-3.34, 2 In 3.14
In4 0.8241 0.8241 0.5515  7 Hg 3.06-3.33, 2 In 3.18
Hg1 0.0548 0.0548 0.6822  3 In 3.06-3.34, 5 Hg 3.17-3.29
Hg2 0.2915 0.2915 0.8036  4 Hg 3.03-3.37, 2 In 3.10-3.33
Hg3 0.3649 0.3649 0.4050  4 In 3.16-3.32, 6 Hg 3.24-3.52
Hg4 0.4572 0.4572 0.7508  3 In 3.00-3.23, 4 Hg 3.03-3.31
Hg5 0.5423 0.5423 0.2488  3 In 3.00-3.23, 4 Hg 3.03-3.31
Hg6 0.6355 0.6355 0.5953  4 In 3.17-3.32, 6 Hg 3.24-3.52
Hg7 0.7085 0.7085 0.1969  4 Hg 3.03-3.37, 2 In 3.10-3.33
Hg8 0.9448 0.9448 0.3167  3 In 3.06-3.34, 5 Hg 3.17-3.29

=====

Entry 4:
MgAg | PBE-GGA | relaxed

Calculated values
Formation enthalpy at 0 K ... -135 meV/atom
SG ... P-6m2
Spin magnetization ... 0.0 μB per formula unit

Unit cell a=3.0924 b=3.0924 c=4.5826 alpha=90.00 beta=90.00 gamma=120.00
Closest atoms and distances in Å follow each position.
Fractional positions:
Mg1 0.0000 0.0000 0.0000  6 Ag 2.90, 6 Mg 3.09
Ag1 0.6667 0.3333 0.5000  6 Mg 2.90, 6 Ag 3.09

=====

Number 3 is which compound?
KIn4Hg8

=====

What is the spin magnetization in the fourth record?
0.0 μB per formula unit

=====

What did the second record say?
Ce2Co3NiB12 | PBE-GGA | relaxed

Calculated values
Formation enthalpy at 0 K ... -33 meV/atom
SG ... R-3m
Spin magnetization ... 1.8 μB per formula unit

Unit cell a=8.0472 b=8.0472 c=8.0472 alpha=38.91 beta=38.91 gamma=38.91
Closest atoms and distances in Å follow each position.
Fractional positions:
Ce1 0.1410 0.1410 0.1410  6 B 2.61-2.85
Ce2 0.8590 0.8590 0.8590  6 B 2.61-2.85
Co1 0.0000 0.5000 0.5000  6 B 2.09-2.10
Co2 0.5000 0.0000 0.5000  6 B 2.09-2.10
Co3 0.5000 0.5000 0.0000  6 B 2.09-2.10
Ni1 0.5000 0.5000 0.5000  6 B 2.01
B1 0.1547 0.1547 0.4740  4 B 1.71-1.75
B2 0.1547 0.4740 0.1547  4 B 1.71-1.75
B3 0.1808 0.5477 0.5477  2 B 1.75
B4 0.4523 0.4523 0.8192  2 B 1.75
B5 0.4523 0.8192 0.4523  2 B 1.75
B6 0.4740 0.1547 0.1547  4 B 1.71-1.75
B7 0.5260 0.8453 0.8453  4 B 1.71-1.75
B8 0.5477 0.1808 0.5477  2 B 1.75
B9 0.5477 0.5477 0.1808  2 B 1.75
B10 0.8192 0.4523 0.4523  2 B 1.75
B11 0.8453 0.5260 0.8453  4 B 1.71-1.75
B12 0.8453 0.8453 0.5260  4 B 1.71-1.75